1.
This record from Alexandria describes Pm2InHg at its PBEsol-relaxed geometry. The functional is SCAN.

Unit cell a=5.3330 b=5.3330 c=5.3330 alpha=60.00 beta=60.00 gamma=60.00
With the nearest neighbours (Å) after each atom.
Sites, in units of the cell vectors:
Pm 0.2500 0.2500 0.2500  4 Hg 3.27, 4 In 3.27
Pm 0.7500 0.7500 0.7500  4 In 3.27, 4 Hg 3.27
In 0.0000 0.0000 0.0000  8 Pm 3.27
Hg 0.5000 0.5000 0.5000  8 Pm 3.27

Computed properties:
Spin magnetization = 0.8 μB per formula unit
Fermi-level density of states = 2.601 states/eV per cell
Crystal system = cubic
Space group = Fm-3m, No. 225
Energy of formation from the pure elements = -0.68 eV/atom

2.
This record from Alexandria describes K3NaS2O8 at its PBEsol-relaxed geometry. The functional is SCAN.

Unit cell a=5.6648 b=5.6648 c=7.2982 alpha=90.00 beta=90.00 gamma=120.00
With the nearest neighbours (Å) after each atom.
Sites, in units of the cell vectors:
K 0.0000 0.0000 0.0000  6 O 2.90
K 0.3333 0.6667 0.6759  7 O 2.59-2.85
K 0.6667 0.3333 0.3241  7 O 2.59-2.85
Na 0.0000 0.0000 0.5000  6 O 2.36
S 0.3333 0.6667 0.2318  4 O 1.47-1.50
S 0.6667 0.3333 0.7682  4 O 1.47-1.50
O 0.1906 0.3811 0.3038  1 S 1.50
O 0.1906 0.8094 0.3038  1 S 1.50
O 0.3333 0.6667 0.0307  1 S 1.47
O 0.3811 0.1906 0.6962  1 S 1.50
O 0.6189 0.8094 0.3038  1 S 1.50
O 0.6667 0.3333 0.9693  1 S 1.47
O 0.8094 0.1906 0.6962  1 S 1.50
O 0.8094 0.6189 0.6962  1 S 1.50

Computed properties:
Energy relative to the elements, uncorrected = -2.1127 eV per atom
Spin magnetization = 0.0 μB per formula unit
Fermi-level density of states = 0.000 states/eV per cell
Crystal system = trigonal
Space group = P-3m1, No. 164

3.
This record from Alexandria describes Tl3RhBr at its PBEsol-relaxed geometry. The functional is SCAN.

Unit cell a=5.2147 b=5.2147 c=5.2147 alpha=90.00 beta=90.00 gamma=90.00
With the nearest neighbours (Å) after each atom.
Sites, in units of the cell vectors:
Tl 0.0000 0.0000 0.5000  2 Rh 2.61
Tl 0.0000 0.5000 0.0000  2 Rh 2.61
Tl 0.5000 0.0000 0.0000  2 Rh 2.61
Rh 0.0000 0.0000 0.0000  6 Tl 2.61
Br 0.5000 0.5000 0.5000  12 Tl 3.69

Computed properties:
Energy relative to the elements, uncorrected = -0.4070 eV per atom
Spin magnetization = 0.0 μB per formula unit
Fermi-level density of states = 1.218 states/eV per cell
Crystal system = cubic
Space group = Pm-3m, No. 221

Look up the Fermi-level density of states of the third one.
1.218 states/eV per cell